Entry from Alexandria via LeMat-Bulk: crystalline Cr3Fe at its relaxed geometry (PBE-GGA).

Formation energy from the elements = 0.928 eV/f.u.
Density = 7.58 g cm⁻³
D(E_F) = 4.21 states/eV/f.u.

Unit cell a=2.3593 b=4.3491 c=4.7059 alpha=92.56 beta=90.00 gamma=105.74
Closest atoms and distances in Å follow each position.
Fractional coordinates of all 4 atoms:
Cr: 0.0053 0.0105 0.0022  5 Cr 2.36-2.62, 3 Fe 2.48-2.59
Cr: 0.4947 0.9895 0.4978  5 Cr 2.36-2.62, 3 Fe 2.48-2.59
Cr: 0.2500 0.5000 0.7500  4 Cr 2.36-2.42, 4 Fe 2.63
Fe: 0.7500 0.5000 0.2500  2 Fe 2.36, 10 Cr 2.48-2.63